Entry 1:
Here is an optimized crystal structure of GeHI3 from Alexandria via LeMat-Bulk. Energies are from PBE-GGA.

a b c (Å): 5.7717 5.7717 5.7717
angles (deg): 90.00 90.00 90.00
With the nearest neighbours (Å) after each atom.
Fractional positions:
Ge1 0.0000 0.0000 0.0000  6 I 2.89
H1 0.5000 0.5000 0.5000  12 I 4.08
I1 0.0000 0.0000 0.5000  2 Ge 2.89
I2 0.0000 0.5000 0.0000  2 Ge 2.89
I3 0.5000 0.0000 0.0000  2 Ge 2.89

space group = Pm-3m (221)
electronic total energy = -2.101 eV per atom
DOS(E_F) = 5.30 states/eV/cell
E above lowest polymorph = 0.581 eV/atom



Entry 2:
Here is an optimized crystal structure of LaIn2Re from Alexandria via LeMat-Bulk. Energies are from PBE-GGA.

a b c (Å): 5.9420 5.9420 3.0296
angles (deg): 96.16 96.16 119.17
With the nearest neighbours (Å) after each atom.
Fractional positions:
La1 0.0000 0.0000 0.0000  2 Re 3.01, 2 La 3.03, 4 In 3.19
In1 0.0000 0.5000 0.5000  4 In 3.01-3.03, 2 Re 3.19, 2 La 3.19
In2 0.5000 0.0000 0.5000  4 In 3.01-3.03, 2 Re 3.19, 2 La 3.19
Re1 0.5000 0.5000 0.0000  2 La 3.01, 2 Re 3.03, 4 In 3.19

space group = C2/m (12)
electronic total energy = -5.256 eV per atom
DOS(E_F) = 3.65 states/eV/cell
E above lowest polymorph = 0.277 eV/atom
ΔH_f (0 K) = 0.46 eV/atom



Entry 3:
Here is an optimized crystal structure of Th6TeOs3Se2 from Alexandria via LeMat-Bulk. Energies are from PBE-GGA.

a b c (Å): 9.7971 9.7971 8.8746
angles (deg): 108.04 108.04 24.47
With the nearest neighbours (Å) after each atom.
Fractional positions:
Th1 0.0083 0.0083 0.2201  3 Os 2.82-2.88
Th2 0.3212 0.3212 0.4386  3 Os 2.81-2.88
Th3 0.3403 0.3403 0.8966  3 Os 2.86-2.90, 1 Se 3.19
Th4 0.6597 0.6597 0.1034  3 Os 2.86-2.90, 1 Se 3.19
Th5 0.6788 0.6788 0.5614  3 Os 2.81-2.88
Th6 0.9917 0.9917 0.7799  3 Os 2.82-2.88
Te1 0.5000 0.5000 0.5000  6 Th 3.28-3.29
Os1 0.1666 0.1666 0.3299  6 Th 2.81-2.88
Os2 0.5000 0.5000 0.0000  6 Th 2.82-2.90
Os3 0.8334 0.8334 0.6701  6 Th 2.81-2.88
Se1 0.1669 0.1669 0.8325  6 Th 3.19-3.24
Se2 0.8331 0.8331 0.1675  6 Th 3.19-3.24

formation energy from raw total energies = -945 meV/atom
space group = C2/m (12)
electronic total energy = -8.304 eV per atom
DOS(E_F) = 4.08 states/eV/cell



Entry 4:
Here is an optimized crystal structure of ScAl from Alexandria via LeMat-Bulk. Energies are from PBE-GGA.

a b c (Å): 5.6654 5.6654 7.3742
angles (deg): 107.86 107.86 32.34
With the nearest neighbours (Å) after each atom.
Fractional positions:
Sc1 0.0000 0.0000 0.0000  7 Al 2.98-3.24, 5 Sc 3.09-3.31
Sc2 0.0116 0.0116 0.5866  7 Al 2.91-3.05, 5 Sc 3.09-3.18
Sc3 0.3266 0.3266 0.2294  6 Al 2.95-3.14, 4 Sc 3.16-3.18
Al1 0.3018 0.3018 0.6415  4 Al 2.79-2.83, 3 Sc 2.91-3.05
Al2 0.6287 0.6287 0.3527  4 Al 2.83-3.16, 7 Sc 2.91-3.12
Al3 0.7068 0.7068 0.8793  2 Al 2.79, 7 Sc 2.95-3.10

space group = Cm (8)
electronic total energy = -5.328 eV per atom
DOS(E_F) = 6.18 states/eV/cell
ΔH_f (0 K) = -0.29 eV/atom